LiMnCr2 | PBE | optimized geometry

It has space group P4/mmm (No. 123), with a = 4.1706 Å, b = 4.1706 Å, c = 2.9394 Å, α = 90.00°, β = 90.00° and γ = 90.00°. The asymmetric unit holds Li at (0.0000, 0.0000, 0.0000), Mn at (0.5000, 0.5000, 0.0000) and Cr at (0.0000, 0.5000, 0.5000).

As for the density of states at the Fermi level: 3.0 states/eV/f.u. The calculation puts the offset from the most stable computed form at 161 meV/atom. As for the raw total energy: -7.18 eV per atom. As for the crystal system: tetragonal.